1.
## EuIn2Sb (PBE)

Data for EuIn2Sb after structural relaxation.

Symmetry = R-3m (166)
Calculated volume = 32.44 A^3/atom
Uncorrected formation energy = 9.5 kJ/mol of atoms
Total magnetization = 1.99 μB per atom
DOS at the Fermi energy = 2.2 states/eV/f.u.

Lattice parameters (Å, degrees): 3.6282 3.6282 11.5723 80.98 80.98 60.00
Positions (direct):
Eu  0.0000  0.0000  0.0000
Sb  0.5000  0.5000  0.5000
In  0.0958  0.0958  0.7125
In  0.9042  0.9042  0.2875

2.
## EuInSb4 (PBE)

Data for EuInSb4 after structural relaxation.

Symmetry = F-43m (216)
Calculated volume = 30.64 A^3/atom
Uncorrected formation energy = -14.7 kJ/mol of atoms
Total magnetization = 1.16 μB per atom
DOS at the Fermi energy = 9.1 states/eV/f.u.

Lattice parameters (Å, degrees): 6.3827 6.3827 6.3827 60.00 60.00 60.00
Positions (direct):
Eu  0.2500  0.2500  0.2500
Sb  0.6275  0.6275  0.1175
Sb  0.6275  0.1175  0.6275
Sb  0.6275  0.6275  0.6275
Sb  0.1175  0.6275  0.6275
In  0.0000  0.0000  0.0000

3.
## Eu2InSb (PBE)

Data for Eu2InSb after structural relaxation.

Symmetry = P4/mmm (123)
Calculated volume = 30.48 A^3/atom
Uncorrected formation energy = -68.7 kJ/mol of atoms
Total magnetization = 3.49 μB per atom
DOS at the Fermi energy = 12.7 states/eV/f.u.

Lattice parameters (Å, degrees): 4.1140 4.1140 7.2035 90.00 90.00 90.00
Positions (direct):
Eu  0.0000  0.0000  0.7648
Eu  0.0000  0.0000  0.2352
Sb  0.5000  0.5000  0.0000
In  0.5000  0.5000  0.5000

4.
## EuIn2Sb (PBE)

Data for EuIn2Sb after structural relaxation.

Symmetry = P4/mmm (123)
Calculated volume = 27.54 A^3/atom
Uncorrected formation energy = -47.2 kJ/mol of atoms
Total magnetization = 1.73 μB per atom
DOS at the Fermi energy = 2.0 states/eV/f.u.

Lattice parameters (Å, degrees): 5.0891 4.6529 4.6529 90.00 90.00 90.00
Positions (direct):
Eu  0.5000  0.5000  0.5000
Sb  0.5000  0.0000  0.0000
In  0.0000  0.0000  0.5000
In  0.0000  0.5000  0.0000